Entry 1:
First-principles (PBE) data for a geometry-optimized La2Tb9Tm structure, as listed in the Alexandria database.

As for the energy relative to the lowest polymorph listed for this composition: 56.2 meV per atom. As for the magnetic moment: 0.0 μB/cell. As for the density of states at the Fermi level: 19.01 states/eV per cell. As for the formation energy from the elements: 0.08 eV per atom. Its space group is P6/mmm.

Cell lengths 11.3703, 11.3703, 3.4829 Å; angles 90.00, 90.00, 120.00 degrees
Positions (direct):
La: 0.3333 0.6667 0.0000
La: 0.6667 0.3333 0.0000
Tb: 0.0000 0.5000 0.0000
Tb: 0.1703 0.3406 0.5000
Tb: 0.1703 0.8297 0.5000
Tb: 0.3406 0.1703 0.5000
Tb: 0.5000 0.0000 0.0000
Tb: 0.5000 0.5000 0.0000
Tb: 0.6594 0.8297 0.5000
Tb: 0.8297 0.1703 0.5000
Tb: 0.8297 0.6594 0.5000
Tm: 0.0000 0.0000 0.0000



Entry 2:
First-principles (PBE) data for a geometry-optimized La2Tb3Tm4 structure, as listed in the Alexandria database.

As for the energy relative to the lowest polymorph listed for this composition: 85.5 meV per atom. As for the magnetic moment: 0.0 μB/cell. As for the density of states at the Fermi level: 17.08 states/eV per cell. As for the formation energy from the elements: 0.19 eV per atom. Its space group is Fmmm.

Cell lengths 10.0512, 8.4753, 6.9162 Å; angles 80.85, 56.36, 42.79 degrees
Positions (direct):
La: 0.1151 0.1151 0.8849
La: 0.8849 0.8849 0.1151
Tb: 0.0000 0.0000 0.5000
Tb: 0.5000 0.5000 0.0000
Tb: 0.5000 0.5000 0.5000
Tm: 0.1684 0.4548 0.5452
Tm: 0.4548 0.1684 0.8316
Tm: 0.5452 0.8316 0.1684
Tm: 0.8316 0.5452 0.4548



Entry 3:
First-principles (PBE) data for a geometry-optimized La14TbTm structure, as listed in the Alexandria database.

As for the magnetic moment: 0.0 μB/cell. As for the density of states at the Fermi level: 27.33 states/eV per cell. As for the formation energy from the elements: 0.01 eV per atom. Its space group is Amm2.

Cell lengths 10.5144, 7.3794, 7.3794 Å; angles 90.08, 90.00, 90.00 degrees
Positions (direct):
La: 0.0000 0.0000 0.0000
La: 0.0000 0.0008 0.4994
La: 0.0000 0.4994 0.0008
La: 0.0000 0.5002 0.5002
La: 0.2522 0.2493 0.7509
La: 0.2522 0.7509 0.2493
La: 0.2517 0.7510 0.7510
La: 0.2529 0.2492 0.2492
La: 0.5000 0.5006 0.9995
La: 0.5000 0.9995 0.5006
La: 0.7471 0.2492 0.2492
La: 0.7478 0.2493 0.7509
La: 0.7478 0.7509 0.2493
La: 0.7483 0.7510 0.7510
Tb: 0.5000 0.5001 0.5001
Tm: 0.5000 0.0000 0.0000



What is the magnetic moment in the first record?
0.0 μB/cell



formation energy from the elements of number 3 (La14TbTm)?
0.01 eV per atom



What is the magnetic moment in the second record?
0.0 μB/cell